The following is a PBE-GGA calculation of an optimized crystal structure of CaScSeO5, from the Alexandria database.

## Properties
magnetic moment = 0.12 μB/atom
calculated volume = 112 Å³/f.u.
total DFT energy (no corrections) = -0.490 Ry per atom
uncorrected formation energy = -2.09 eV per atom

```
CaScSeO5
1.0
3.664 -4.462 0.000
3.664 4.462 0.000
-3.586 0.000 6.860
Ca Sc Se O
2 2 2 10
Direct
0.188 0.812 0.750 Ca
0.812 0.188 0.250 Ca
0.500 0.500 0.000 Sc
0.500 0.500 0.500 Sc
0.192 0.808 0.250 Se
0.808 0.192 0.750 Se
0.113 0.242 0.905 O
0.159 0.618 0.409 O
0.242 0.113 0.405 O
0.382 0.841 0.091 O
0.439 0.561 0.750 O
0.561 0.439 0.250 O
0.618 0.159 0.909 O
0.758 0.887 0.595 O
0.841 0.382 0.591 O
0.887 0.758 0.095 O
```